Here is a geometry-optimized Na3Mn2RhO6 structure from the Alexandria database. Energies are from PBE with a Hubbard U.

## Properties
Total magnetization (μB/f.u.): 4.00
E_tot (eV/atom): -5.954
Volume (Å³/cell): 255.9

Cell lengths 5.244, 9.202, 5.590 Å; angles 90.00, 108.42, 90.00 degrees
Space group C2/m (No. 12)
Symmetry-distinct sites (fractional):
Na 0.000 0.000 0.000 [2 per cell]
Na 0.000 0.336 0.000 [4 per cell]
Mn 0.000 0.166 0.500 [4 per cell]
Rh 0.000 0.500 0.500 [2 per cell]
O 0.223 0.000 0.700 [4 per cell]
O 0.239 0.329 0.697 [8 per cell]